A plane-wave DFT calculation with PBE+U was carried out for an optimized crystal structure of Ba3Co2RuO8.

Calculated values
- total DFT energy (no corrections) (eV for the cell shown) = -88.870
- D(E_F) (states/eV/atom) = 0.352

a = 5.776 Å, b = 5.776 Å, c = 7.515 Å
α = 90.00°, β = 90.00°, γ = 120.00°
Element x y z (fractional)
O: 0.840 0.679 0.662
O: 0.679 0.840 0.338
Ru: 0.000 0.000 0.500
O: 0.160 0.840 0.338
O: 0.333 0.667 0.991
Ba: 0.333 0.667 0.656
Ba: 0.667 0.333 0.344
O: 0.840 0.160 0.662
O: 0.160 0.321 0.338
O: 0.667 0.333 0.009
Ba: 0.000 0.000 0.000
Co: 0.667 0.333 0.774
Co: 0.333 0.667 0.226
O: 0.321 0.160 0.662